The following is a DFT calculation (GGA-PBE) of an optimized crystal structure of ReP2SN.

a = 4.649 Å, b = 4.649 Å, c = 4.624 Å
α = 90.00°, β = 90.00°, γ = 90.00°
Space group P4/mmm (No. 123)
One atom of each set of equivalent atoms:
Re 0.000 0.000 0.000 x1
P 0.000 0.500 0.000 x2
S 0.000 0.000 0.500 x1
N 0.500 0.500 0.500 x1

Computed properties:
**Mass density**: 4.89 g cm⁻³
**N(E_F)**: 5.17 states/eV per cell
**Polymorph energy (0 for the lowest one)**: 428 meV/atom